(1)
This record from OQMD describes an optimized crystal structure of TbHoSi2Ni. The functional is PBE-GGA.

a b c (Å): 10.2256 4.1802 10.0530
angles (deg): 90.00 118.61 90.00
With the nearest neighbours (Å) after each atom.
Space group C2/m (No. 12)
Symmetry-distinct sites (fractional):
Tb  0.0057  0.0000  0.3283 [4 per cell]  7 Si 2.92-3.15, 4 Ni 2.99-3.05
Ho  0.1887  0.0000  0.1069 [4 per cell]  6 Si 2.92-3.04, 2 Ni 3.13
Si  0.0091  0.5000  0.8812 [4 per cell]  1 Ni 2.44, 1 Si 2.48
Si  0.1496  0.5000  0.5625 [4 per cell]  3 Ni 2.38-2.56
Ni  0.2259  0.5000  0.3548 [4 per cell]  4 Si 2.38-2.56

Its volume is 18.9 A^3/atom. As for the electronic total energy: -5.939 eV per atom.

(2)
This record from OQMD describes an optimized crystal structure of HoZnGa2Pt4. The functional is PBE-GGA.

a b c (Å): 4.4934 4.4934 6.5551
angles (deg): 90.00 90.00 90.00
With the nearest neighbours (Å) after each atom.
Space group P4/mmm (No. 123)
Symmetry-distinct sites (fractional):
Ho  0.0000  0.0000  0.0000 [1 per cell]  8 Pt 2.88, 4 Ga 3.18
Zn  0.5000  0.5000  0.5000 [1 per cell]  8 Pt 2.69
Ga  0.0000  0.0000  0.5000 [1 per cell]  8 Pt 2.69
Ga  0.5000  0.5000  0.0000 [1 per cell]  8 Pt 2.88, 4 Ho 3.18
Pt  0.0000  0.5000  0.2746 [4 per cell]  2 Zn 2.69, 4 Ga 2.69-2.88, 2 Ho 2.88, 1 Pt 2.95

Its volume is 16.5 A^3/atom. As for the electronic total energy: -5.213 eV per atom.

(3)
This record from OQMD describes an optimized crystal structure of LaNd2Mg3CuPt2. The functional is PBE-GGA.

a b c (Å): 4.1214 13.1939 7.6659
angles (deg): 90.00 90.00 90.00
With the nearest neighbours (Å) after each atom.
Space group Amm2 (No. 38)
Symmetry-distinct sites (fractional):
La  0.0000  0.0000  0.0000 [2 per cell]  4 Pt 3.07, 1 Cu 3.22, 2 Mg 3.35
Nd  0.0000  0.2070  0.6257 [4 per cell]  4 Pt 3.09-3.10, 1 Cu 3.15, 6 Mg 3.33-3.43
Mg  0.5000  0.0000  0.6549 [2 per cell]  2 Cu 2.74, 2 Pt 2.98
Mg  0.5000  0.1218  0.2991 [4 per cell]  2 Cu 2.77, 2 Pt 2.95-2.97
Cu  0.0000  0.0000  0.4198 [2 per cell]  6 Mg 2.74-2.77
Pt  0.5000  0.1661  0.9191 [4 per cell]  3 Mg 2.95-2.98, 2 La 3.07, 4 Nd 3.09-3.10

Its volume is 23.2 A^3/atom. As for the electronic total energy: -4.557 eV per atom.

(4)
This record from OQMD describes an optimized crystal structure of Pr8C8Cl5. The functional is PBE-GGA.

a b c (Å): 7.6942 16.9750 6.8609
angles (deg): 90.00 104.05 90.00
With the nearest neighbours (Å) after each atom.
Space group P2_1/c (No. 14)
Symmetry-distinct sites (fractional):
Pr  0.0719  0.1957  0.1276 [4 per cell]  6 C 2.60-2.79
Pr  0.1503  0.0703  0.6249 [4 per cell]  3 C 2.42-2.67
Pr  0.2252  0.5493  0.6165 [4 per cell]  3 C 2.41-2.66
Pr  0.3027  0.6729  0.1025 [4 per cell]  3 C 2.41-2.65
C  0.0211  0.0391  0.2232 [4 per cell]  1 C 1.35
C  0.0498  0.6604  0.7643 [4 per cell]  1 C 1.35
C  0.1002  0.5854  0.2193 [4 per cell]  1 C 1.35
C  0.1595  0.7154  0.7151 [4 per cell]  1 C 1.35
Cl  0.3476  0.2033  0.5158 [4 per cell]  4 Pr 2.92-3.04
Cl  0.4128  0.0964  0.0199 [4 per cell]  5 Pr 2.99-3.35
Cl  0.5000  0.0000  0.5000 [2 per cell]  4 Pr 3.06-3.24

Its volume is 20.7 A^3/atom. As for the electronic total energy: -6.729 eV per atom.

Which of these has the highest volume?
LaNd2Mg3CuPt2

What is the volume in the third record?
23.2 A^3/atom